[1]
{"formula": "Co2O3F", "functional": "PBE with a Hubbard U", "state": "relaxed", "lattice_angstrom": [[-0.224, 4.859, -3.371], [-4.270, -2.780, -3.724], [-4.563, 4.626, 1.780]], "species": ["Co", "Co", "Co", "Co", "Co", "Co", "Co", "Co", "O", "O", "O", "O", "O", "O", "O", "O", "O", "O", "O", "O", "F", "F", "F", "F"], "fractional_positions": [[0.000, 0.000, 0.501], [0.750, 0.500, 0.999], [0.250, 0.500, 0.999], [0.500, 0.000, 0.501], [0.750, 0.474, 0.500], [0.250, 0.526, 0.500], [0.000, 0.974, 0.000], [0.500, 0.026, 0.000], [0.153, 0.000, 0.194], [0.653, 0.000, 0.194], [0.097, 0.500, 0.306], [0.597, 0.500, 0.306], [0.501, 0.310, 0.998], [0.749, 0.190, 0.502], [0.001, 0.690, 0.998], [0.249, 0.810, 0.502], [0.347, 0.000, 0.806], [0.847, 0.000, 0.806], [0.403, 0.500, 0.694], [0.903, 0.500, 0.694], [0.999, 0.280, 0.002], [0.251, 0.220, 0.498], [0.499, 0.720, 0.002], [0.751, 0.780, 0.498]], "dos_ef_per_ev_fu": 0.8, "e_above_lowest_polymorph_ev_per_atom": 0.004, "dft_energy_ev_per_cell": -131.07}



[2]
{"formula": "Co6O5F7", "functional": "PBE with a Hubbard U", "state": "relaxed", "lattice_angstrom": [[2.335, 0.005, 4.992], [2.973, -4.634, 0.235], [6.524, 1.994, -1.070]], "species": ["Co", "Co", "Co", "Co", "Co", "Co", "O", "O", "O", "O", "O", "F", "F", "F", "F", "F", "F", "F"], "fractional_positions": [[0.668, 0.332, 0.000], [0.690, 0.310, 0.500], [0.993, 0.669, 0.155], [0.005, 0.694, 0.671], [0.306, 0.995, 0.329], [0.331, 0.007, 0.845], [0.778, 0.427, 0.197], [0.098, 0.788, 0.869], [0.573, 0.222, 0.803], [0.212, 0.902, 0.131], [0.977, 0.023, 0.500], [0.385, 0.615, 0.500], [0.672, 0.970, 0.175], [0.427, 0.086, 0.538], [0.914, 0.573, 0.462], [0.305, 0.367, 0.167], [0.633, 0.695, 0.833], [0.030, 0.328, 0.825]], "dos_ef_per_ev_fu": 4.5, "e_above_lowest_polymorph_ev_per_atom": 0.031, "dft_energy_ev_per_cell": -94.31}



[3]
{"formula": "Co6O5F7", "functional": "PBE with a Hubbard U", "state": "relaxed", "lattice_angstrom": [[5.471, 0.061, -0.028], [1.598, 5.271, 0.003], [1.980, 1.500, 6.612]], "species": ["Co", "Co", "Co", "Co", "Co", "Co", "O", "O", "O", "O", "O", "F", "F", "F", "F", "F", "F", "F"], "fractional_positions": [[0.667, 0.702, 0.839], [0.673, 0.626, 0.317], [0.358, 0.321, 0.669], [0.314, 0.334, 0.170], [0.986, 0.007, 0.497], [0.992, 0.015, 0.000], [0.232, 0.232, 0.964], [0.434, 0.416, 0.375], [0.768, 0.783, 0.031], [0.961, 0.347, 0.330], [0.649, 0.039, 0.668], [0.358, 0.944, 0.339], [0.052, 0.638, 0.662], [0.581, 0.581, 0.636], [0.891, 0.880, 0.299], [0.104, 0.103, 0.701], [0.294, 0.708, 0.001], [0.686, 0.325, 0.001]], "dos_ef_per_ev_fu": 6.1, "e_above_lowest_polymorph_ev_per_atom": 0.045, "dft_energy_ev_per_cell": -94.06}